## Cs2ZrHgCl6 (PBE-GGA)

Data for a relaxed Cs2ZrHgCl6 crystal.

a b c (Å): 11.675 11.675 11.675
angles (deg): 90.00 90.00 90.00
Space group Fm-3m (No. 225)
Unique sites:
Cs 0.250 0.250 0.250 (multiplicity 8)
Zr 0.000 0.000 0.000 (multiplicity 4)
Hg 0.000 0.000 0.500 (multiplicity 4)
Cl 0.000 0.000 0.213 (multiplicity 24)

## CsZrHgCl6 (PBE-GGA)

Data for a relaxed CsZrHgCl6 crystal.

a b c (Å): 7.430 12.906 7.132
angles (deg): 90.00 90.09 90.00
Space group C2 (No. 5)
Unique sites:
Cs 0.000 0.000 0.000 (multiplicity 2)
Zr 0.000 0.667 0.500 (multiplicity 2)
Hg 0.000 0.334 0.500 (multiplicity 2)
Cl 0.116 0.525 0.294 (multiplicity 4)
Cl 0.155 0.796 0.294 (multiplicity 4)
Cl 0.227 0.179 0.295 (multiplicity 4)

## Cs2ZrHgCl6 (PBE-GGA)

Data for a relaxed Cs2ZrHgCl6 crystal.

a b c (Å): 7.4851 7.4851 57.6329
angles (deg): 90.00 90.00 120.00
Space group R-3m (No. 166, hexagonal axes)
Unique sites:
Cs 0.0000 0.0000 0.1417 (multiplicity 6)
Cs 0.0000 0.0000 0.3086 (multiplicity 6)
Zr 0.0000 0.0000 0.0000 (multiplicity 3)
Zr 0.0000 0.0000 0.5000 (multiplicity 3)
Hg 0.0000 0.0000 0.4153 (multiplicity 6)
Cl 0.0179 0.5089 0.1418 (multiplicity 18)
Cl 0.0182 0.5091 0.6915 (multiplicity 18)

no.,formation energy from raw total energies (eV/atom)
1,-1.717
2,-1.506
3,-1.752